The following is a DFT calculation (GGA+U) of a relaxed structure of Mn3VBr2O6.

Cell and atoms, written as CIF:
```
data_Mn3VBr2O6
_cell_length_a 5.837
_cell_length_b 6.115
_cell_length_c 5.857
_cell_angle_alpha 121.47
_cell_angle_beta 76.13
_cell_angle_gamma 90.00
_symmetry_space_group_name_H-M 'P 1'
_symmetry_Int_Tables_number 1
loop_
_symmetry_equiv_pos_as_xyz
'x,y,z'
loop_
_atom_site_label
_atom_site_type_symbol
_atom_site_fract_x
_atom_site_fract_y
_atom_site_fract_z
_atom_site_occupancy
V1 V 0.500 0.000 0.000 1
O1 O 0.683 0.826 0.111 1
Mn1 Mn 0.500 0.500 0.500 1
O2 O 0.317 0.715 0.889 1
O3 O 0.340 0.200 0.399 1
O4 O 0.683 0.285 0.111 1
Mn2 Mn 0.500 0.000 0.500 1
O5 O 0.660 0.800 0.601 1
Br1 Br 0.853 0.275 0.549 1
Mn3 Mn 0.000 0.500 0.000 1
Br2 Br 0.147 0.725 0.451 1
O6 O 0.317 0.174 0.889 1
```

Calculated values
* DFT total energy: -6.455 eV/atom